#w
This record from the Alexandria database describes a relaxed structure of K3SrAu. The functional is PBE-GGA.

The structure in CIF format:
```
data_K3SrAu
_space_group_name_H-M_alt 'P m -3 m'
_space_group_IT_number 221
_space_group_name_Hall '-P 4 2 3'
_cell_length_a 6.556
_cell_length_b 6.556
_cell_length_c 6.556
_cell_angle_alpha 90.00
_cell_angle_beta 90.00
_cell_angle_gamma 90.00
loop_
_atom_site_label
_atom_site_type_symbol
_atom_site_fract_x
_atom_site_fract_y
_atom_site_fract_z
_atom_site_occupancy
K1 K 0.000 0.000 0.500 1
Sr1 Sr 0.500 0.500 0.500 1
Au1 Au 0.000 0.000 0.000 1
```

## Properties
magnetization = 0.0 μB per formula unit

#x
This record from the Alexandria database describes a relaxed structure of K3SrAu. The functional is PBE-GGA.

The structure in CIF format:
```
data_K3SrAu
_space_group_name_H-M_alt 'P m -3 m'
_space_group_IT_number 221
_space_group_name_Hall '-P 4 2 3'
_cell_length_a 7.821
_cell_length_b 7.821
_cell_length_c 7.821
_cell_angle_alpha 90.00
_cell_angle_beta 90.00
_cell_angle_gamma 90.00
loop_
_atom_site_label
_atom_site_type_symbol
_atom_site_fract_x
_atom_site_fract_y
_atom_site_fract_z
_atom_site_occupancy
K1 K 0.000 0.000 0.500 1
Sr1 Sr 0.000 0.000 0.000 1
Au1 Au 0.500 0.500 0.500 1
```

## Properties
magnetization = 1.9 μB per formula unit

Least stable: #x

#w
This record from the Alexandria database describes a relaxed structure of KTa2Au. The functional is PBE-GGA.

The structure in CIF format:
```
data_KTa2Au
_space_group_name_H-M_alt 'C m m 2'
_space_group_IT_number 35
_space_group_name_Hall 'C 2 -2'
_cell_length_a 3.637
_cell_length_b 4.605
_cell_length_c 10.455
_cell_angle_alpha 90.00
_cell_angle_beta 90.00
_cell_angle_gamma 90.00
loop_
_atom_site_label
_atom_site_type_symbol
_atom_site_fract_x
_atom_site_fract_y
_atom_site_fract_z
_atom_site_occupancy
K1 K 0.000 0.000 0.000 1
Ta1 Ta 0.000 0.000 0.476 1
Ta2 Ta 0.000 0.500 0.679 1
Au1 Au 0.000 0.500 0.268 1
```

## Properties
magnetization = 0.0 μB per formula unit

#x
This record from the Alexandria database describes a relaxed structure of KTa2Au. The functional is PBE-GGA.

The structure in CIF format:
```
data_KTa2Au
_space_group_name_H-M_alt 'P 4/m m m'
_space_group_IT_number 123
_space_group_name_Hall '-P 4 2'
_cell_length_a 3.612
_cell_length_b 3.612
_cell_length_c 8.309
_cell_angle_alpha 90.00
_cell_angle_beta 90.00
_cell_angle_gamma 90.00
loop_
_atom_site_label
_atom_site_type_symbol
_atom_site_fract_x
_atom_site_fract_y
_atom_site_fract_z
_atom_site_occupancy
K1 K 0.000 0.000 0.000 1
Ta1 Ta 0.500 0.500 0.356 1
Au1 Au 0.000 0.000 0.500 1
```

## Properties
magnetization = 0.0 μB per formula unit

Least stable: #x

#w
This record from the Alexandria database describes a relaxed structure of KTa2Au. The functional is PBE-GGA.

The structure in CIF format:
```
data_KTa2Au
_space_group_name_H-M_alt 'C m m m'
_space_group_IT_number 65
_space_group_name_Hall '-C 2 2'
_cell_length_a 5.637
_cell_length_b 10.911
_cell_length_c 2.760
_cell_angle_alpha 90.00
_cell_angle_beta 90.00
_cell_angle_gamma 90.00
loop_
_atom_site_label
_atom_site_type_symbol
_atom_site_fract_x
_atom_site_fract_y
_atom_site_fract_z
_atom_site_occupancy
K1 K 0.000 0.000 0.000 1
Ta1 Ta 0.250 0.250 0.500 1
Au1 Au 0.000 0.500 0.000 1
```

## Properties
magnetization = 0.0 μB per formula unit

#x
This record from the Alexandria database describes a relaxed structure of KTa2Au. The functional is PBE-GGA.

The structure in CIF format:
```
data_KTa2Au
_space_group_name_H-M_alt 'C 1 m 1'
_space_group_IT_number 8
_space_group_name_Hall 'C -2y'
_cell_length_a 10.101
_cell_length_b 2.857
_cell_length_c 7.328
_cell_angle_alpha 90.00
_cell_angle_beta 98.96
_cell_angle_gamma 90.00
loop_
_atom_site_label
_atom_site_type_symbol
_atom_site_fract_x
_atom_site_fract_y
_atom_site_fract_z
_atom_site_occupancy
K1 K 0.000 0.000 0.000 1
Ta1 Ta 0.199 0.000 0.582 1
Ta2 Ta 0.468 0.000 0.522 1
Au1 Au 0.270 0.500 0.276 1
```

## Properties
magnetization = 0.0 μB per formula unit

#y
This record from the Alexandria database describes a relaxed structure of KTa2Au. The functional is PBE-GGA.

The structure in CIF format:
```
data_KTa2Au
_space_group_name_H-M_alt 'I m m m'
_space_group_IT_number 71
_space_group_name_Hall '-I 2 2'
_cell_length_a 2.740
_cell_length_b 5.311
_cell_length_c 12.070
_cell_angle_alpha 90.00
_cell_angle_beta 90.00
_cell_angle_gamma 90.00
loop_
_atom_site_label
_atom_site_type_symbol
_atom_site_fract_x
_atom_site_fract_y
_atom_site_fract_z
_atom_site_occupancy
K1 K 0.000 0.000 0.000 1
Ta1 Ta 0.000 0.500 0.214 1
Au1 Au 0.000 0.000 0.500 1
```

## Properties
magnetization = 0.0 μB per formula unit

#z
This record from the Alexandria database describes a relaxed structure of KTa2Au. The functional is PBE-GGA.

The structure in CIF format:
```
data_KTa2Au
_space_group_name_H-M_alt 'C 1 2/m 1'
_space_group_IT_number 12
_space_group_name_Hall '-C 2y'
_cell_length_a 5.934
_cell_length_b 11.643
_cell_length_c 2.729
_cell_angle_alpha 90.00
_cell_angle_beta 114.80
_cell_angle_gamma 90.00
loop_
_atom_site_label
_atom_site_type_symbol
_atom_site_fract_x
_atom_site_fract_y
_atom_site_fract_z
_atom_site_occupancy
K1 K 0.000 0.000 0.000 1
Ta1 Ta 0.250 0.250 0.500 1
Au1 Au 0.000 0.500 0.000 1
```

## Properties
magnetization = 0.0 μB per formula unit

Least stable: #w

#w
This record from the Alexandria database describes a relaxed structure of KTa2Au. The functional is PBE-GGA.

The structure in CIF format:
```
data_KTa2Au
_space_group_name_H-M_alt 'R -3 m'
_space_group_IT_number 166
_space_group_name_Hall '-R 3 2"'
_cell_length_a 2.9534
_cell_length_b 2.9534
_cell_length_c 34.1852
_cell_angle_alpha 90.00
_cell_angle_beta 90.00
_cell_angle_gamma 120.00
loop_
_atom_site_label
_atom_site_type_symbol
_atom_site_fract_x
_atom_site_fract_y
_atom_site_fract_z
_atom_site_occupancy
K1 K 0.0000 0.0000 0.0000 1
Ta1 Ta 0.0000 0.0000 0.2367 1
Au1 Au 0.0000 0.0000 0.5000 1
```

## Properties
magnetization = 0.0 μB per formula unit

#x
This record from the Alexandria database describes a relaxed structure of KTa2Au. The functional is PBE-GGA.

The structure in CIF format:
```
data_KTa2Au
_space_group_name_H-M_alt 'P 4/m m m'
_space_group_IT_number 123
_space_group_name_Hall '-P 4 2'
_cell_length_a 4.022
_cell_length_b 4.022
_cell_length_c 5.317
_cell_angle_alpha 90.00
_cell_angle_beta 90.00
_cell_angle_gamma 90.00
loop_
_atom_site_label
_atom_site_type_symbol
_atom_site_fract_x
_atom_site_fract_y
_atom_site_fract_z
_atom_site_occupancy
K1 K 0.000 0.000 0.000 1
Ta1 Ta 0.000 0.500 0.500 1
Au1 Au 0.500 0.500 0.000 1
```

## Properties
magnetization = 0.0 μB per formula unit

Least stable: #x

#w
This record from the Alexandria database describes a relaxed structure of KTaAu2. The functional is PBE-GGA.

The structure in CIF format:
```
data_KTaAu2
_space_group_name_H-M_alt 'F m -3 m'
_space_group_IT_number 225
_space_group_name_Hall '-F 4 2 3'
_cell_length_a 6.977
_cell_length_b 6.977
_cell_length_c 6.977
_cell_angle_alpha 90.00
_cell_angle_beta 90.00
_cell_angle_gamma 90.00
loop_
_atom_site_label
_atom_site_type_symbol
_atom_site_fract_x
_atom_site_fract_y
_atom_site_fract_z
_atom_site_occupancy
K1 K 0.000 0.000 0.000 1
Ta1 Ta 0.000 0.000 0.500 1
Au1 Au 0.250 0.250 0.250 1
```

## Properties
magnetization = 0.0 μB per formula unit

#x
This record from the Alexandria database describes a relaxed structure of KTaAu2. The functional is PBE-GGA.

The structure in CIF format:
```
data_KTaAu2
_space_group_name_H-M_alt 'P m m m'
_space_group_IT_number 47
_space_group_name_Hall '-P 2 2'
_cell_length_a 2.938
_cell_length_b 3.858
_cell_length_c 8.091
_cell_angle_alpha 90.00
_cell_angle_beta 90.00
_cell_angle_gamma 90.00
loop_
_atom_site_label
_atom_site_type_symbol
_atom_site_fract_x
_atom_site_fract_y
_atom_site_fract_z
_atom_site_occupancy
K1 K 0.000 0.000 0.000 1
Ta1 Ta 0.000 0.000 0.500 1
Au1 Au 0.500 0.500 0.316 1
```

## Properties
magnetization = 0.0 μB per formula unit

Least stable: #w